(1)
The following is a PBE calculation of Li2Sc4Ti after structural relaxation, from Alexandria.

Cell: 4.916 4.916 8.181 Å, 72.51 72.51 90.00°
Positions (direct):
Li 0.621 0.621 0.758
Li 0.379 0.379 0.242
Sc 0.000 0.500 0.000
Sc 0.179 0.179 0.642
Sc 0.821 0.821 0.358
Sc 0.500 0.000 0.000
Ti 0.000 0.000 0.000

E_tot: -4.6937 eV/atom
SG: I4/mmm
energy of formation from the pure elements: 0.60 eV/atom

=====

(2)
The following is a PBE calculation of Ba3Tl2In after structural relaxation, from Alexandria.

Cell: 4.289 6.068 9.629 Å, 108.37 90.00 90.00°
Positions (direct):
Ba 0.500 0.834 0.668
Ba 0.500 0.500 0.000
Ba 0.500 0.166 0.332
In 0.000 0.000 0.000
Tl 0.000 0.666 0.332
Tl 0.000 0.334 0.668

E_tot: -2.6042 eV/atom
offset from the most stable computed form: 3 meV/atom
SG: Cmmm
energy of formation from the pure elements: -0.40 eV/atom

=====

(3)
The following is a PBE calculation of GaHg5 after structural relaxation, from Alexandria.

Cell: 3.725 3.725 13.184 Å, 90.00 90.00 120.00°
Positions (direct):
Hg 0.667 0.333 0.152
Hg 0.000 0.000 0.325
Hg 0.667 0.333 0.500
Hg 0.667 0.333 0.848
Hg 0.000 0.000 0.675
Ga 0.000 0.000 0.000

E_tot: -0.6997 eV/atom
offset from the most stable computed form: 14 meV/atom
SG: P-6m2
energy of formation from the pure elements: 0.06 eV/atom

=====

(4)
The following is a PBE calculation of PmSm3Ni after structural relaxation, from Alexandria.

Cell: 3.737 6.331 12.985 Å, 85.54 81.73 72.84°
Positions (direct):
Sm 0.775 0.690 0.761
Sm 0.434 0.613 0.520
Sm 0.111 0.150 0.628
Sm 0.437 0.979 0.147
Sm 0.991 0.113 0.904
Sm 0.779 0.054 0.389
Pm 0.221 0.555 0.004
Pm 0.101 0.517 0.281
Ni 0.455 0.320 0.770
Ni 0.757 0.347 0.138

E_tot: -5.0665 eV/atom
SG: Cm
energy of formation from the pure elements: -0.13 eV/atom

=====

(5)
The following is a PBE calculation of NaIn2BiBr6 after structural relaxation, from Alexandria.

Cell: 7.597 8.283 11.122 Å, 90.00 88.79 90.00°
Positions (direct):
Br 0.324 0.701 0.440
Br 0.676 0.299 0.560
Br 0.878 0.537 0.247
Br 0.122 0.463 0.753
Br 0.814 0.817 0.552
Br 0.176 0.201 0.060
Br 0.686 0.317 0.948
Br 0.314 0.683 0.052
Br 0.622 0.037 0.253
Br 0.186 0.183 0.448
Br 0.378 0.963 0.747
Br 0.824 0.799 0.940
Bi 0.500 0.000 0.500
Bi 0.000 0.500 0.000
In 0.467 0.412 0.246
In 0.533 0.588 0.754
In 0.967 0.088 0.746
In 0.033 0.912 0.254
Na 0.500 0.000 0.000
Na 0.000 0.500 0.500

E_tot: -2.9433 eV/atom
raw formation energy: -0.87 eV/atom
SG: P2_1/c

=====

(6)
The following is a PBE calculation of La2ZnSiPt6 after structural relaxation, from Alexandria.

Cell: 5.734 8.000 8.000 Å, 42.00 69.00 90.00°
Positions (direct):
Zn 0.500 0.500 0.000
Pt 0.753 0.729 0.493
Pt 0.247 0.753 0.025
Pt 0.271 0.247 0.975
Pt 0.753 0.247 0.975
Pt 0.247 0.271 0.507
Pt 0.729 0.753 0.025
La 0.789 0.211 0.422
La 0.211 0.789 0.578
Si 0.000 0.000 0.000

E_tot: -6.1483 eV/atom
raw formation energy: -0.87 eV/atom
SG: R-3m